! Ba8Na3Au2 PBE optimized geometry; values from VASP
&SYSTEM
  ibrav = 0, nat = 13, ntyp = 3
/
ATOMIC_SPECIES
Ba 137.33 Ba.upf
Na 22.99 Na.upf
Au 196.97 Au.upf
CELL_PARAMETERS angstrom
10.096 -4.346 0.000
10.096 4.346 0.000
-1.669 0.000 7.563
ATOMIC_POSITIONS angstrom
Ba 1.180 0.000 2.214
Ba 6.804 2.196 1.019
Ba 5.141 0.000 4.532
Ba 11.719 2.196 6.544
Ba 6.804 -2.196 1.019
Ba 13.382 0.000 3.032
Ba 11.719 -2.196 6.544
Ba 17.343 0.000 5.349
Na 9.262 1.478 3.782
Na 10.096 0.000 0.000
Na 9.262 -1.478 3.782
Au 4.337 0.000 1.291
Au 14.186 0.000 6.272
! Symmetry   C2/m
! Energy of formation   -0.199 eV/atom

***

! LiErTi PBE optimized geometry; values from VASP
&SYSTEM
  ibrav = 0, nat = 6, ntyp = 3
/
ATOMIC_SPECIES
Li 6.94 Li.upf
Er 167.26 Er.upf
Ti 47.87 Ti.upf
CELL_PARAMETERS angstrom
3.560 0.000 0.000
0.000 3.559 0.000
-0.009 0.000 10.658
ATOMIC_POSITIONS angstrom
Li 0.888 0.890 0.716
Li 2.662 2.669 9.942
Er 0.886 0.890 7.808
Er 2.665 2.669 2.850
Ti 0.885 0.890 4.777
Ti 2.666 2.669 5.880
! Symmetry   P2_1/m
! Energy of formation   0.089 eV/atom

***

! Ca2AcGaO5 PBE optimized geometry; values from VASP
&SYSTEM
  ibrav = 0, nat = 18, ntyp = 4
/
ATOMIC_SPECIES
Ca 40.08 Ca.upf
Ac 227.00 Ac.upf
Ga 69.72 Ga.upf
O 16.00 O.upf
CELL_PARAMETERS angstrom
-3.326 3.326 5.624
3.326 -3.326 5.624
3.326 3.326 -5.624
ATOMIC_POSITIONS angstrom
Ca 4.518 1.192 0.000
Ca 1.192 2.134 0.000
Ca 2.134 1.192 5.624
Ca -1.192 2.134 5.624
Ac 0.000 0.000 2.812
Ac 0.000 0.000 8.436
Ga 3.326 0.000 2.812
Ga 0.000 3.326 2.812
O 0.000 0.000 0.000
O 2.315 1.011 -1.646
O 2.315 -1.011 3.978
O 2.315 1.011 1.646
O 2.315 -1.011 7.270
O 0.000 0.000 5.624
O 1.011 4.337 -1.646
O 1.011 2.315 3.978
O 1.011 4.337 1.646
O 1.011 2.315 7.270
! Symmetry   I4/mcm
! Formation energy (no corrections)   -2.756 eV/atom

***

! PuHI PBE optimized geometry; values from VASP
&SYSTEM
  ibrav = 0, nat = 3, ntyp = 3
/
ATOMIC_SPECIES
Pu 244.00 Pu.upf
H 1.01 H.upf
I 126.90 I.upf
CELL_PARAMETERS angstrom
3.970 0.000 0.000
-1.985 3.438 0.000
0.000 0.000 4.691
ATOMIC_POSITIONS angstrom
Pu 0.000 0.000 0.000
H 0.000 2.292 0.000
I 1.985 1.146 2.345
! Symmetry   P-6m2
! Calculated total energy   -7.08 eV/atom